[1]
{
  "formula": "Tb3Y7Tm",
  "functional": "GGA-PBE",
  "state": "optimized geometry",
  "relative_energy_mev_per_atom": 49,
  "m_tot_mub_per_cell": 0.0,
  "e_tot_ev_per_cell": -61.46,
  "formation_energy_ev_per_atom": 0.20,
  "cell": [[7.0756, 0.0000, 0.0000], [-3.5378, 6.1277, 0.0000], [0.0000, 0.0000, 8.5980]],
  "species": ["Tb", "Tb", "Tb", "Y", "Y", "Y", "Y", "Y", "Y", "Y", "Tm"],
  "frac_coords": [[0.0008, 0.5004, 0.0000], [0.4996, 0.5004, 0.0000], [0.4996, 0.9992, 0.0000], [0.1679, 0.3359, 0.6646], [0.1679, 0.8321, 0.6646], [0.3352, 0.1676, 0.3324], [0.6641, 0.8321, 0.6646], [0.6667, 0.3333, 0.6638], [0.8324, 0.1676, 0.3324], [0.8324, 0.6648, 0.3324], [0.3333, 0.6667, 0.3345]]
}



[2]
{
  "formula": "Tb2YTm9",
  "functional": "GGA-PBE",
  "state": "optimized geometry",
  "relative_energy_mev_per_atom": 31,
  "m_tot_mub_per_cell": 0.0,
  "e_tot_ev_per_cell": -55.28,
  "formation_energy_ev_per_atom": 0.06,
  "cell": [[11.0770, 0.0000, 0.0000], [-5.5385, 9.5930, 0.0000], [0.0000, 0.0000, 3.4712]],
  "species": ["Tb", "Tb", "Y", "Tm", "Tm", "Tm", "Tm", "Tm", "Tm", "Tm", "Tm", "Tm"],
  "frac_coords": [[0.3333, 0.6667, 0.0000], [0.6667, 0.3333, 0.0000], [0.0000, 0.0000, 0.0000], [0.0000, 0.5000, 0.0000], [0.1766, 0.3533, 0.5000], [0.1766, 0.8234, 0.5000], [0.3533, 0.1766, 0.5000], [0.5000, 0.0000, 0.0000], [0.5000, 0.5000, 0.0000], [0.6467, 0.8234, 0.5000], [0.8234, 0.1766, 0.5000], [0.8234, 0.6467, 0.5000]]
}



[3]
{
  "formula": "Tb2Y5Tm4",
  "functional": "GGA-PBE",
  "state": "optimized geometry",
  "relative_energy_mev_per_atom": 0,
  "m_tot_mub_per_cell": 0.0,
  "e_tot_ev_per_cell": -58.37,
  "formation_energy_ev_per_atom": 0.10,
  "cell": [[8.1235, -2.8149, 0.0000], [8.1235, 2.8149, 0.0000], [-5.2825, 0.0000, 7.6746]],
  "species": ["Tb", "Tb", "Y", "Y", "Y", "Y", "Y", "Tm", "Tm", "Tm", "Tm"],
  "frac_coords": [[0.0870, 0.0870, 0.2476], [0.9130, 0.9130, 0.7524], [0.0000, 0.0000, 0.5000], [0.2924, 0.2924, 0.7564], [0.3410, 0.3410, 0.4373], [0.6590, 0.6590, 0.5627], [0.7076, 0.7076, 0.2436], [0.1852, 0.1852, 0.9866], [0.4476, 0.4476, 0.2019], [0.5524, 0.5524, 0.7981], [0.8148, 0.8148, 0.0134]]
}



[4]
{
  "formula": "TbYTm5",
  "functional": "GGA-PBE",
  "state": "optimized geometry",
  "relative_energy_mev_per_atom": 972,
  "m_tot_mub_per_cell": 0.0,
  "e_tot_ev_per_cell": -25.27,
  "formation_energy_ev_per_atom": 1.17,
  "cell": [[-2.8674, 4.2653, 5.9280], [2.8674, -4.2653, 5.9280], [2.8674, 4.2653, -5.9280]],
  "species": ["Tb", "Y", "Tm", "Tm", "Tm", "Tm", "Tm"],
  "frac_coords": [[0.0000, 0.0000, 0.0000], [0.5000, 0.5000, 0.0000], [0.1776, 0.5000, 0.6776], [0.2558, 0.2558, 0.0000], [0.5000, 0.0000, 0.5000], [0.7442, 0.7442, 0.0000], [0.8224, 0.5000, 0.3224]]
}